[1]
BaAs4Pd12 | GGA-PBE | optimized geometry

Cell lengths 7.5131, 7.5131, 7.5131 Å; angles 109.47, 109.47, 109.47 degrees
With the nearest neighbours (Å) after each atom.
Element x y z (fractional)
Ba: 0.0000 0.0000 0.0000  12 Pd 3.36, 8 As 3.76
As: 0.0000 0.0000 0.5000  6 Pd 2.42
As: 0.0000 0.5000 0.0000  6 Pd 2.42
As: 0.5000 0.0000 0.0000  6 Pd 2.42
As: 0.5000 0.5000 0.5000  6 Pd 2.42
Pd: 0.1720 0.3469 0.5189  2 As 2.42, 1 Pd 2.66
Pd: 0.1720 0.6531 0.8251  2 As 2.42, 1 Pd 2.66
Pd: 0.1749 0.8280 0.3469  2 As 2.42, 1 Pd 2.66
Pd: 0.3469 0.1749 0.8280  2 As 2.42, 1 Pd 2.66
Pd: 0.3469 0.5189 0.1720  2 As 2.42, 1 Pd 2.66
Pd: 0.4811 0.8280 0.6531  2 As 2.42, 1 Pd 2.66
Pd: 0.5189 0.1720 0.3469  2 As 2.42, 1 Pd 2.66
Pd: 0.6531 0.4811 0.8280  2 As 2.42, 1 Pd 2.66
Pd: 0.6531 0.8251 0.1720  2 As 2.42, 1 Pd 2.66
Pd: 0.8251 0.1720 0.6531  2 As 2.42, 1 Pd 2.66
Pd: 0.8280 0.3469 0.1749  2 As 2.42, 1 Pd 2.66
Pd: 0.8280 0.6531 0.4811  2 As 2.42, 1 Pd 2.66

Energy relative to the elements   -249 meV/atom
Theoretical density   8.7 g cm⁻³
DFT total energy   -5.12 eV per atom
V   19.20 A^3/atom
D(E_F)   7.8 states/eV per cell

[2]
Pu2H2Pt | GGA-PBE | optimized geometry

Cell lengths 5.0714, 5.0714, 4.1218 Å; angles 100.69, 100.69, 39.02 degrees
With the nearest neighbours (Å) after each atom.
Element x y z (fractional)
Pu: 0.1795 0.1795 0.0797  3 H 2.22-2.27, 2 Pu 2.34
Pu: 0.8205 0.8205 0.9203  3 H 2.22-2.27, 2 Pu 2.34
H: 0.3311 0.3311 0.5790  1 Pt 1.71
H: 0.6689 0.6689 0.4210  1 Pt 1.71
Pt: 0.5000 0.5000 0.5000  2 H 1.71

Theoretical density   17.4 g cm⁻³
DFT total energy   -8.42 eV per atom
V   13.09 A^3/atom
D(E_F)   7.6 states/eV per cell
Offset from the most stable computed form   0.3549 eV per atom

[3]
Mo2PCl | GGA-PBE | optimized geometry

Cell lengths 5.1465, 5.1465, 5.1465 Å; angles 147.58, 112.26, 77.12 degrees
With the nearest neighbours (Å) after each atom.
Element x y z (fractional)
Mo: 0.2390 0.2390 0.0000  2 P 2.40, 2 Cl 2.55
Mo: 0.7610 0.7610 0.0000  2 P 2.40, 2 Cl 2.55
P: 0.0000 0.5000 0.5000  4 Mo 2.40
Cl: 0.5000 0.0000 0.5000  4 Mo 2.55

Theoretical density   6.5 g cm⁻³
DFT total energy   -6.78 eV per atom
V   16.58 A^3/atom
D(E_F)   4.8 states/eV per cell
Offset from the most stable computed form   0.5327 eV per atom

[4]
GeBiPd5 | GGA-PBE | optimized geometry

Cell lengths 6.5367, 6.5367, 9.3706 Å; angles 117.34, 117.34, 69.91 degrees
With the nearest neighbours (Å) after each atom.
Element x y z (fractional)
Ge: 0.0000 0.5000 0.0000  6 Pd 2.43-2.52
Ge: 0.5000 0.0000 0.5000  6 Pd 2.43-2.52
Bi: 0.2317 0.7683 0.7500  7 Pd 2.74-2.81
Bi: 0.7683 0.2317 0.2500  7 Pd 2.74-2.81
Pd: 0.0764 0.4260 0.7465  1 Ge 2.45, 3 Pd 2.72-2.74, 1 Bi 2.74
Pd: 0.1358 0.8642 0.2500  2 Ge 2.52, 2 Pd 2.73, 1 Bi 2.75
Pd: 0.2115 0.3484 0.4793  1 Ge 2.43
Pd: 0.3484 0.2115 0.9793  1 Ge 2.43
Pd: 0.4260 0.0764 0.2465  1 Ge 2.45, 3 Pd 2.72-2.74, 1 Bi 2.74
Pd: 0.5740 0.9236 0.7535  1 Ge 2.45, 3 Pd 2.72-2.74, 1 Bi 2.74
Pd: 0.6516 0.7885 0.0207  1 Ge 2.43
Pd: 0.7885 0.6516 0.5207  1 Ge 2.43
Pd: 0.8642 0.1358 0.7500  2 Ge 2.52, 2 Pd 2.73, 1 Bi 2.75
Pd: 0.9236 0.5740 0.2535  1 Ge 2.45, 3 Pd 2.72-2.74, 1 Bi 2.74

Energy relative to the elements   42 meV/atom
Theoretical density   8.7 g cm⁻³
DFT total energy   -4.88 eV per atom
V   22.25 A^3/atom
D(E_F)   7.2 states/eV per cell

[5]
Rb2CaFeN | GGA-PBE | optimized geometry

Cell lengths 7.3936, 7.3936, 5.1254 Å; angles 90.00, 90.00, 90.00 degrees
With the nearest neighbours (Å) after each atom.
Element x y z (fractional)
Rb: 0.0000 0.5000 0.0000  2 Ca 3.70
Rb: 0.5000 0.0000 0.0000  2 Ca 3.70
Ca: 0.0000 0.0000 0.0000  2 Fe 2.56
Fe: 0.0000 0.0000 0.5000  2 Ca 2.56
N: 0.5000 0.5000 0.5000  8 Rb 4.50

Theoretical density   1.7 g cm⁻³
DFT total energy   -2.39 eV per atom
V   56.04 A^3/atom
D(E_F)   10.8 states/eV per cell

[6]
Tb2InPd5 | GGA-PBE | optimized geometry

Cell lengths 5.8370, 5.8370, 5.8370 Å; angles 113.31, 113.31, 102.03 degrees
With the nearest neighbours (Å) after each atom.
Element x y z (fractional)
Tb: 0.0000 0.5000 0.5000  10 Pd 2.89-3.21
Tb: 0.5000 0.0000 0.5000  10 Pd 2.89-3.21
In: 0.4136 0.4136 0.0000  9 Pd 2.83-3.13
Pd: 0.0201 0.0201 0.0000  8 Pd 2.88-3.00, 1 In 2.89, 4 Tb 3.21
Pd: 0.5187 0.5187 0.5561  2 In 2.83-3.13, 4 Pd 2.85-3.00, 4 Tb 2.89-2.97
Pd: 0.5187 0.9625 0.0000  2 In 2.83-3.13, 4 Pd 2.85-3.00, 4 Tb 2.89-2.97
Pd: 0.9625 0.5187 0.0000  2 In 2.83-3.13, 4 Pd 2.85-3.00, 4 Tb 2.89-2.97
Pd: 0.9625 0.9625 0.4439  2 In 2.83-3.13, 4 Pd 2.85-3.00, 4 Tb 2.89-2.97

Energy relative to the elements   -761 meV/atom
Theoretical density   10.6 g cm⁻³
DFT total energy   -5.51 eV per atom
V   18.90 A^3/atom
D(E_F)   2.7 states/eV per cell

[7]
Mg6Tl3Ga | GGA-PBE | optimized geometry

Cell lengths 8.9889, 4.9883, 10.8575 Å; angles 90.00, 106.74, 90.00 degrees
With the nearest neighbours (Å) after each atom.
Element x y z (fractional)
Mg: 0.0502 0.2500 0.4202  7 Tl 3.06-3.42, 3 Mg 3.26-3.31
Mg: 0.1825 0.7500 0.1803  1 Ga 2.89, 4 Tl 3.09-3.18, 2 Mg 3.10
Mg: 0.2728 0.2500 0.0109  3 Ga 2.95-2.99, 2 Tl 3.10-3.22, 1 Mg 3.20
Mg: 0.3573 0.2500 0.3184  8 Mg 3.10-3.30, 3 Tl 3.27-3.32
Mg: 0.3585 0.7500 0.8129  3 Ga 2.91-3.00, 2 Tl 3.20
Mg: 0.4298 0.2500 0.6337  1 Ga 2.85, 3 Tl 3.05, 2 Mg 3.10
Mg: 0.5702 0.7500 0.3663  1 Ga 2.85, 3 Tl 3.05, 2 Mg 3.10
Mg: 0.6415 0.2500 0.1870  3 Ga 2.91-3.00, 2 Tl 3.20
Mg: 0.6427 0.7500 0.6816  8 Mg 3.10-3.30, 3 Tl 3.27-3.32
Mg: 0.7272 0.7500 0.9891  3 Ga 2.95-2.99, 2 Tl 3.10-3.22, 1 Mg 3.20
Mg: 0.8175 0.2500 0.8197  1 Ga 2.89, 4 Tl 3.09-3.18, 2 Mg 3.10
Mg: 0.9498 0.7500 0.5798  7 Tl 3.06-3.42, 3 Mg 3.26-3.31
Tl: 0.0276 0.7500 0.8846  8 Mg 3.09-3.35, 2 Tl 3.39
Tl: 0.1319 0.2500 0.7142  8 Mg 3.05-3.34, 2 Tl 3.39
Tl: 0.2820 0.7500 0.4862  10 Mg 3.05-3.41
Tl: 0.7180 0.2500 0.5138  10 Mg 3.05-3.41
Tl: 0.8681 0.7500 0.2858  8 Mg 3.05-3.34, 2 Tl 3.39
Tl: 0.9724 0.2500 0.1154  8 Mg 3.09-3.35, 2 Tl 3.39
Ga: 0.4574 0.7500 0.0929  8 Mg 2.85-3.00
Ga: 0.5426 0.2500 0.9071  8 Mg 2.85-3.00

Energy relative to the elements   -37 meV/atom
Theoretical density   5.9 g cm⁻³
DFT total energy   -2.01 eV per atom
V   23.31 A^3/atom
D(E_F)   6.8 states/eV per cell

[8]
In2SbIr | GGA-PBE | optimized geometry

Cell lengths 3.1245, 3.2447, 8.8564 Å; angles 90.00, 90.00, 90.00 degrees
With the nearest neighbours (Å) after each atom.
Element x y z (fractional)
In: 0.0000 0.0000 0.1924  4 Ir 2.82, 2 In 3.12
In: 0.0000 0.0000 0.8076  4 Ir 2.82, 2 In 3.12
Sb: 0.0000 0.5000 0.5000  4 Sb 3.12-3.24, 4 In 3.17
Ir: 0.5000 0.5000 0.0000  8 In 2.82, 2 Ir 3.12

Theoretical density   10.1 g cm⁻³
DFT total energy   -4.61 eV per atom
V   22.45 A^3/atom
D(E_F)   2.0 states/eV per cell

[9]
TaMo2Cl | GGA-PBE | optimized geometry

Cell lengths 4.6181, 4.6181, 3.0712 Å; angles 90.00, 90.00, 90.00 degrees
With the nearest neighbours (Å) after each atom.
Element x y z (fractional)
Ta: 0.0000 0.0000 0.0000  8 Mo 2.77, 2 Ta 3.07
Mo: 0.0000 0.5000 0.5000  4 Cl 2.77, 4 Ta 2.77, 2 Mo 3.07
Mo: 0.5000 0.0000 0.5000  4 Cl 2.77, 4 Ta 2.77, 2 Mo 3.07
Cl: 0.5000 0.5000 0.0000  8 Mo 2.77, 2 Cl 3.07

Theoretical density   10.4 g cm⁻³
DFT total energy   -8.15 eV per atom
V   16.37 A^3/atom
D(E_F)   5.4 states/eV per cell
Offset from the most stable computed form   0.5150 eV per atom

[10]
HfMgZr3 | GGA-PBE | optimized geometry

Cell lengths 8.3300, 3.3644, 8.5845 Å; angles 90.00, 98.90, 90.00 degrees
With the nearest neighbours (Å) after each atom.
Element x y z (fractional)
Hf: 0.1308 0.2500 0.2691  8 Zr 2.93-3.12
Hf: 0.8692 0.7500 0.7309  8 Zr 2.93-3.12
Mg: 0.4961 0.2500 0.1701  6 Zr 3.15-3.47, 1 Hf 3.28, 4 Mg 3.36-3.38
Mg: 0.5039 0.7500 0.8299  6 Zr 3.15-3.47, 1 Hf 3.28, 4 Mg 3.36-3.38
Zr: 0.1452 0.2500 0.6344  6 Zr 3.04-3.36, 3 Hf 3.06-3.12
Zr: 0.1600 0.7500 0.9738  3 Hf 2.94-3.08, 2 Zr 3.24, 1 Mg 3.29
Zr: 0.3693 0.7500 0.4660  4 Zr 2.74-3.04, 2 Hf 2.93
Zr: 0.6307 0.2500 0.5340  4 Zr 2.74-3.04, 2 Hf 2.93
Zr: 0.8400 0.2500 0.0262  3 Hf 2.94-3.08, 2 Zr 3.24, 1 Mg 3.29
Zr: 0.8548 0.7500 0.3656  6 Zr 3.04-3.36, 3 Hf 3.06-3.12

Energy relative to the elements   181 meV/atom
Theoretical density   6.7 g cm⁻³
DFT total energy   -7.26 eV per atom
V   23.77 A^3/atom
D(E_F)   7.0 states/eV per cell
Offset from the most stable computed form   0.0643 eV per atom

[11]
Tl2IrOs | GGA-PBE | optimized geometry

Cell lengths 2.8660, 3.7754, 8.4338 Å; angles 90.00, 90.00, 90.00 degrees
With the nearest neighbours (Å) after each atom.
Element x y z (fractional)
Tl: 0.0000 0.0000 0.0000  2 Tl 2.87, 1 Ir 3.20
Tl: 0.5000 0.5000 0.3535  2 Tl 2.87
Ir: 0.0000 0.0000 0.6202  4 Os 2.56, 2 Ir 2.87
Os: 0.5000 0.5000 0.7353  4 Ir 2.56, 2 Os 2.87

Energy relative to the elements   519 meV/atom
Theoretical density   14.4 g cm⁻³
DFT total energy   -5.69 eV per atom
V   22.81 A^3/atom
D(E_F)   1.8 states/eV per cell
Offset from the most stable computed form   0.0047 eV per atom

[12]
ThTa4Se8 | GGA-PBE | optimized geometry

Cell lengths 8.0939, 8.0939, 8.0939 Å; angles 52.58, 52.58, 52.58 degrees
With the nearest neighbours (Å) after each atom.
Element x y z (fractional)
Th: 0.0000 0.0000 0.0000  6 Se 2.84
Ta: 0.0000 0.0000 0.5000  6 Se 2.63-2.68
Ta: 0.0000 0.5000 0.0000  6 Se 2.63-2.68
Ta: 0.5000 0.0000 0.0000  6 Se 2.63-2.68
Ta: 0.5000 0.5000 0.5000  6 Se 2.57
Se: 0.2443 0.2443 0.2443  3 Ta 2.63
Se: 0.2604 0.7378 0.7378  3 Ta 2.57-2.68, 1 Th 2.84
Se: 0.2622 0.2622 0.7396  3 Ta 2.57-2.68, 1 Th 2.84
Se: 0.2622 0.7396 0.2622  3 Ta 2.57-2.68, 1 Th 2.84
Se: 0.7378 0.2604 0.7378  3 Ta 2.57-2.68, 1 Th 2.84
Se: 0.7378 0.7378 0.2604  3 Ta 2.57-2.68, 1 Th 2.84
Se: 0.7396 0.2622 0.2622  3 Ta 2.57-2.68, 1 Th 2.84
Se: 0.7557 0.7557 0.7557  3 Ta 2.63

Theoretical density   8.5 g cm⁻³
DFT total energy   -7.19 eV per atom
V   23.82 A^3/atom
D(E_F)   5.3 states/eV per cell